A geometry-optimized YLuZnTe3 structure. Source: OQMD, functional PBE.

Unit cell a=7.823 b=7.823 c=10.463 alpha=90.00 beta=90.00 gamma=149.72
Sites, in units of the cell vectors:
Y 0.000 0.000 0.000
Y 0.000 0.000 0.500
Lu 0.226 0.774 0.750
Lu 0.774 0.226 0.250
Zn 0.479 0.521 0.250
Zn 0.521 0.479 0.750
Te 0.120 0.880 0.250
Te 0.347 0.653 0.054
Te 0.347 0.653 0.446
Te 0.653 0.347 0.554
Te 0.653 0.347 0.946
Te 0.880 0.120 0.750

Output
- VASP energy: -4.52 eV/atom
- Calculated volume: 26.9 Å³ per atom
- Symmetry: No. 63